The following is a PBE calculation of AlGaFeNi after structural relaxation, from Alexandria via LeMat-Bulk.

Results
Electronic total energy ... -22.569 eV/f.u.
SG ... Pmmm, No. 47
Formation enthalpy at 0 K ... -0.3889 eV per atom

```
4
Lattice="2.951 0.000 0.000 0.000 4.028 0.000 0.000 0.000 4.036" Properties=species:S:1:pos:R:3 pbc="T T T"
Al 0.000 0.000 0.000
Ga 0.000 2.014 2.018
Fe 1.475 0.000 2.018
Ni 1.475 2.014 0.000
```

=====

The following is a PBE calculation of Ba2CdGe3Pd12 after structural relaxation, from Alexandria via LeMat-Bulk.

Results
Electronic total energy ... -84.119 eV/f.u.
SG ... R-3m, No. 166
Formation enthalpy at 0 K ... -0.1773 eV per atom

```
18
Lattice="4.340 2.506 6.023 -4.340 2.506 6.023 0.000 -5.012 6.023" Properties=species:S:1:pos:R:3 pbc="T T T"
Ba 0.000 0.000 1.954
Ba 0.000 0.000 16.115
Cd 0.000 0.000 9.035
Ge -2.170 -1.253 6.023
Ge -2.170 1.253 12.046
Ge 0.000 2.506 6.023
Pd -2.220 -1.282 8.400
Pd 0.000 -2.193 5.409
Pd -1.899 1.097 5.409
Pd 0.000 -2.564 9.670
Pd -2.220 1.282 9.670
Pd -1.899 -1.097 12.661
Pd 1.899 1.097 5.409
Pd 2.220 -1.282 8.400
Pd 0.000 2.564 8.400
Pd 1.899 -1.097 12.661
Pd 0.000 2.193 12.661
Pd 2.220 1.282 9.670
```

=====

The following is a PBE calculation of La5Nd12Sc2 after structural relaxation, from Alexandria via LeMat-Bulk.

Results
Electronic total energy ... -91.372 eV/f.u.
SG ... C2/m, No. 12
Formation enthalpy at 0 K ... 0.1654 eV per atom

```
19
Lattice="9.286 -4.028 0.000 9.286 4.028 0.000 -3.500 0.000 8.919" Properties=species:S:1:pos:R:3 pbc="T T T"
La 0.000 0.000 0.000
La 1.610 0.000 6.482
La 4.705 0.000 2.686
La 10.368 0.000 6.232
La 13.463 0.000 2.436
Nd -1.616 0.000 6.018
Nd 4.355 2.256 5.563
Nd 6.418 2.037 0.172
Nd 10.718 2.256 3.356
Nd 8.654 2.037 8.746
Nd 6.011 0.000 7.308
Nd 9.062 0.000 1.611
Nd 6.418 -2.037 0.172
Nd 4.355 -2.256 5.563
Nd 8.654 -2.037 8.746
Nd 10.718 -2.256 3.356
Nd 16.688 0.000 2.900
Sc 7.536 1.369 4.459
Sc 7.536 -1.369 4.459
```

=====

The following is a PBE calculation of KSrSi2 after structural relaxation, from Alexandria via LeMat-Bulk.

Results
Electronic total energy ... -11.985 eV/f.u.
Formation energy from raw total energies ... 410 meV/atom
SG ... F-43m, No. 216

```
16
Lattice="7.599 0.000 0.000 0.000 7.599 0.000 0.000 0.000 7.599" Properties=species:S:1:pos:R:3 pbc="T T T"
K 0.000 0.000 0.000
K 0.000 3.799 3.799
K 3.799 0.000 3.799
K 3.799 3.799 0.000
Sr 1.900 1.900 1.900
Sr 1.900 5.699 5.699
Sr 5.699 1.900 5.699
Sr 5.699 5.699 1.900
Si 0.000 0.000 3.799
Si 0.000 3.799 0.000
Si 1.900 1.900 5.699
Si 1.900 5.699 1.900
Si 3.799 0.000 0.000
Si 3.799 3.799 3.799
Si 5.699 1.900 1.900
Si 5.699 5.699 5.699
```

=====

The following is a PBE calculation of BaCaGaCu after structural relaxation, from Alexandria via LeMat-Bulk.

Results
Electronic total energy ... -12.003 eV/f.u.
SG ... R3m, No. 160
Formation enthalpy at 0 K ... -0.2389 eV per atom

```
12
Lattice="4.462 0.000 0.000 -2.231 3.864 0.000 0.000 0.000 22.843" Properties=species:S:1:pos:R:3 pbc="T T T"
Ba 0.000 0.000 0.000
Ba 0.000 2.576 15.229
Ba 2.231 1.288 7.614
Ca 0.000 0.000 3.918
Ca 0.000 2.576 19.147
Ca 2.231 1.288 11.532
Ga 0.000 0.000 9.838
Ga 0.000 2.576 2.224
Ga 2.231 1.288 17.452
Cu 0.000 0.000 17.471
Cu 0.000 2.576 9.856
Cu 2.231 1.288 2.242
```

=====

The following is a PBE calculation of TbB3Rh3 after structural relaxation, from Alexandria via LeMat-Bulk.

Results
Electronic total energy ... -49.612 eV/f.u.
SG ... P1, No. 1
Formation enthalpy at 0 K ... -0.4135 eV per atom

```
28
Lattice="7.059 0.000 0.000 1.363 7.122 0.000 1.144 1.517 7.223" Properties=species:S:1:pos:R:3 pbc="T T T"
Tb 0.000 0.000 0.000
Tb 2.027 3.414 3.846
Tb 5.038 7.399 5.129
Tb 4.693 3.136 0.814
B 1.892 4.067 6.751
B 1.795 3.777 0.745
B 3.291 6.163 3.556
B 4.183 6.738 0.451
B 4.992 4.323 5.549
B 4.422 2.275 3.350
B 5.203 5.915 1.684
B 4.348 0.376 0.801
B 6.181 2.761 3.020
B 7.466 6.539 4.421
B 8.377 5.631 7.220
B 8.602 6.351 2.863
Rh 2.086 7.756 4.355
Rh 3.130 5.464 5.669
Rh 2.980 5.394 1.588
Rh 3.750 3.073 6.826
Rh 2.830 0.713 2.468
Rh 4.867 4.474 3.492
Rh 5.776 2.409 5.025
Rh 7.275 7.333 6.689
Rh 5.541 0.593 2.632
Rh 7.163 4.827 5.494
Rh 7.212 5.012 2.004
Rh 7.652 2.256 1.668
```

=====

The following is a PBE calculation of CsMgP after structural relaxation, from Alexandria via LeMat-Bulk.

Results
Electronic total energy ... -8.305 eV/f.u.
SG ... C2, No. 5
Formation enthalpy at 0 K ... -0.1490 eV per atom

```
12
Lattice="8.584 0.000 0.000 0.000 13.365 0.000 -1.694 0.000 3.981" Properties=species:S:1:pos:R:3 pbc="T T T"
Cs 0.000 0.000 0.000
Cs -0.847 5.304 1.991
Cs 4.292 6.683 0.000
Cs 3.445 11.987 1.991
Mg 0.968 9.090 0.977
Mg 1.631 2.407 3.004
Mg 5.260 2.407 0.977
Mg 5.923 9.090 3.004
P -0.047 10.556 2.766
P 2.645 3.874 1.215
P 4.245 3.874 2.766
P 6.937 10.556 1.215
```

=====

The following is a PBE calculation of Li2ZrBiSe4 after structural relaxation, from Alexandria via LeMat-Bulk.

Results
Electronic total energy ... -37.861 eV/f.u.
Formation energy from raw total energies ... -958 meV/atom
SG ... P2/m, No. 10

```
8
Lattice="6.953 0.000 0.000 0.000 3.908 0.000 -2.369 0.000 6.712" Properties=species:S:1:pos:R:3 pbc="T T T"
Li 0.000 0.000 0.000
Li -1.184 1.954 3.356
Zr 2.292 0.000 3.356
Bi 3.476 1.954 0.000
Se -0.047 0.000 4.859
Se 1.131 1.954 1.731
Se 3.453 1.954 4.982
Se 4.631 0.000 1.854
```